The following is a DFT calculation (GGA-PBE) of SrPdC3 after structural relaxation.

The structure belongs to space group Pm-3m (No. 221); the cell edges are 4.522, 4.522 and 4.522 Å and the angles 90.00°, 90.00° and 90.00°. The asymmetric unit holds Sr at (0.000, 0.000, 0.000), Pd at (0.500, 0.500, 0.500) and C at (0.000, 0.000, 0.500).

The calculation puts the formation energy from the elements at 1773 kJ/mol of formula units. As for the magnetic moment: 0.00 μB per formula unit. The polymorph energy (0 for the lowest one) is 1712 meV per atom. The value obtained for the total energy is -16.2 eV per formula unit.


The following is a DFT calculation (GGA-PBE) of SrTaPdC2 after structural relaxation.

The structure belongs to space group P4/mmm (No. 123); the cell edges are 4.364, 4.364 and 5.496 Å and the angles 90.00°, 90.00° and 90.00°. The asymmetric unit holds Sr at (0.000, 0.000, 0.000), Ta at (0.000, 0.000, 0.500), Pd at (0.500, 0.500, 0.500) and C at (0.000, 0.500, 0.000).

The calculation puts the formation energy from the elements at 1662 kJ/mol of formula units. As for the magnetic moment: 0.05 μB per formula unit. The value obtained for the total energy is -20.0 eV per formula unit.


The following is a DFT calculation (GGA-PBE) of Sr2VPdC after structural relaxation.

The structure belongs to space group P4/mmm (No. 123); the cell edges are 5.865, 5.865 and 4.612 Å and the angles 90.00°, 90.00° and 90.00°. The asymmetric unit holds Sr at (0.000, 0.500, 0.000), V at (0.000, 0.000, 0.500), Pd at (0.000, 0.000, 0.000) and C at (0.500, 0.500, 0.500).

The calculation puts the formation energy from the elements at 686 kJ/mol of formula units. As for the magnetic moment: 1.50 μB per formula unit. The value obtained for the total energy is -19.8 eV per formula unit.


The following is a DFT calculation (GGA-PBE) of Ta2PdC after structural relaxation.

The structure belongs to space group I-42d (No. 122); the cell edges are 6.480, 6.480 and 5.729 Å and the angles 90.00°, 90.00° and 90.00°. The asymmetric unit holds Ta at (0.184, 0.750, 0.125), Pd at (0.000, 0.000, 0.500) and C at (0.000, 0.000, 0.000).

The calculation puts the formation energy from the elements at 45 kJ/mol of formula units. As for the magnetic moment: 0.00 μB per formula unit. The value obtained for the total energy is -37.7 eV per formula unit.


Q: Number 3 is which compound?
A: Sr2VPdC


Q: What is the magnetic moment in the first record?
A: 0.00 μB per formula unit